VASP calculation (PBE) on an optimized crystal structure of EuMgPb2.

Cell lengths 4.9481, 4.9481, 4.6388 Å; angles 90.00, 90.00, 90.00 degrees
Positions (direct):
Eu 0.0000 0.0000 0.0000
Mg 0.5000 0.5000 0.0000
Pb 0.0000 0.5000 0.5000
Pb 0.5000 0.0000 0.5000

Properties
Crystal system ... tetragonal
Energy of formation from the pure elements ... -370 meV/atom
E above lowest polymorph ... 0.0000 eV/atom
Fermi-level density of states ... 4.870 states/eV per cell
Size of the total moment ... 7.031 Bohr magnetons per cell
Space-group type ... No. 123

***

VASP calculation (PBE) on an optimized crystal structure of Li2LaMg.

Cell lengths 3.2745, 4.9512, 6.5114 Å; angles 90.00, 104.36, 90.00 degrees
Positions (direct):
Li 0.0000 0.0000 0.0000
Li 0.1069 0.5000 0.2201
La 0.3640 0.5000 0.7281
Mg 0.7088 0.0000 0.4201

Properties
Crystal system ... monoclinic
Energy of formation from the pure elements ... 62 meV/atom
Fermi-level density of states ... 4.256 states/eV per cell
Size of the total moment ... 0.266 Bohr magnetons per cell
Space-group type ... No. 6

***

VASP calculation (PBE) on an optimized crystal structure of TlIn2ReO.

Cell lengths 5.2510, 5.2510, 5.3251 Å; angles 90.00, 90.00, 90.00 degrees
Positions (direct):
Tl 0.0000 0.0000 0.0000
In 0.0000 0.5000 0.5000
In 0.5000 0.0000 0.5000
Re 0.0000 0.0000 0.5000
O 0.5000 0.5000 0.0000

Properties
Crystal system ... tetragonal
Energy relative to the elements, uncorrected ... 0.873 eV per atom
Fermi-level density of states ... 11.314 states/eV per cell
Size of the total moment ... 2.282 Bohr magnetons per cell
Space-group type ... No. 123

***

> Look up the Fermi-level density of states of the first one.

4.870 states/eV per cell

***

> Among the records above, which one has the highest size of the total moment?

EuMgPb2

***

> The lowest size of the total moment belongs to which entry?

Li2LaMg

***

Copy entry 1 word for word.
VASP calculation (PBE) on an optimized crystal structure of EuMgPb2.

Cell lengths 4.9481, 4.9481, 4.6388 Å; angles 90.00, 90.00, 90.00 degrees
Positions (direct):
Eu 0.0000 0.0000 0.0000
Mg 0.5000 0.5000 0.0000
Pb 0.0000 0.5000 0.5000
Pb 0.5000 0.0000 0.5000

Properties
Crystal system ... tetragonal
Energy of formation from the pure elements ... -370 meV/atom
E above lowest polymorph ... 0.0000 eV/atom
Fermi-level density of states ... 4.870 states/eV per cell
Size of the total moment ... 7.031 Bohr magnetons per cell
Space-group type ... No. 123